A plane-wave DFT calculation with GGA-PBE was carried out for TlIrPb2I after structural relaxation.

Results
SG = P4/mmm
Theoretical density = 9.8 g/cm³
Calculated volume = 158.2 Å³ per cell
Formation energy from raw total energies = -0.042 eV/atom

Lattice parameters (Å, degrees): 5.4033 5.4033 5.4195 90.00 90.00 90.00
Last column: nearest neighbours and their distance in Å.
Fractional positions:
1 Tl 0.0000 0.0000 0.0000  2 Ir 2.71
2 Ir 0.0000 0.0000 0.5000  4 Pb 2.70, 2 Tl 2.71
3 Pb 0.0000 0.5000 0.5000  2 Ir 2.70
4 Pb 0.5000 0.0000 0.5000  2 Ir 2.70
5 I 0.5000 0.5000 0.0000  4 Tl 3.82, 8 Pb 3.83